[1]
This record from Alexandria describes a geometry-optimized Rb2LaZnCl6 structure. The functional is PBE.

Cell and atoms, written as POSCAR:
```
Rb2LaZnCl6
1.0
0.000 5.533 5.533
5.533 0.000 5.533
5.533 5.533 0.000
Rb La Zn Cl
2 1 1 6
Direct
0.250 0.250 0.250
0.750 0.750 0.750
0.000 0.000 0.000
0.500 0.500 0.500
0.251 0.251 0.749
0.251 0.749 0.251
0.251 0.749 0.749
0.749 0.251 0.251
0.749 0.251 0.749
0.749 0.749 0.251
```

## Properties
The value obtained for the density of states at the Fermi level is 0.25 states/eV/f.u. The raw formation energy comes out at -1.75 eV/atom.

[2]
This record from Alexandria describes a geometry-optimized MgPd3Pt7 structure. The functional is PBE.

Cell and atoms, written as POSCAR:
```
MgPd3Pt7
1.0
4.546 -4.569 0.000
4.546 4.569 0.000
-2.071 0.000 4.543
Mg Pd Pt
1 3 7
Direct
0.000 0.000 0.000
0.290 0.710 0.500
0.500 0.500 0.000
0.710 0.290 0.500
0.000 0.000 0.500
0.079 0.570 0.825
0.278 0.278 0.457
0.430 0.921 0.175
0.570 0.079 0.825
0.722 0.722 0.543
0.921 0.430 0.175
```

## Properties
The value obtained for the density of states at the Fermi level is 12.08 states/eV/f.u. As for the formation energy: 0.07 eV per atom.

[3]
This record from Alexandria describes a geometry-optimized Pa3As2C structure. The functional is PBE.

Cell and atoms, written as POSCAR:
```
Pa3As2C
1.0
-1.982 1.982 8.278
1.982 -1.982 8.278
1.982 1.982 -8.278
Pa As C
3 2 1
Direct
0.000 0.000 0.000
0.354 0.354 0.000
0.646 0.646 0.000
0.175 0.175 0.000
0.825 0.825 0.000
0.500 0.500 0.000
```

## Properties
The value obtained for the density of states at the Fermi level is 6.08 states/eV/f.u. As for the formation energy: -0.72 eV per atom. The energy above the most stable polymorph in this dataset is 2.6 kJ per mole of atoms.

[4]
This record from Alexandria describes a geometry-optimized AcSiTe3 structure. The functional is PBE.

Cell and atoms, written as POSCAR:
```
AcSiTe3
1.0
7.580 0.000 0.000
0.000 8.692 0.000
-7.294 0.000 10.516
Ac Si Te
4 4 12
Direct
0.212 0.121 0.251
0.212 0.379 0.751
0.788 0.621 0.249
0.788 0.879 0.749
0.129 0.593 0.062
0.129 0.907 0.562
0.871 0.093 0.438
0.871 0.407 0.938
0.093 0.187 0.941
0.093 0.313 0.441
0.287 0.690 0.945
0.287 0.810 0.445
0.401 0.019 0.777
0.401 0.481 0.277
0.599 0.519 0.723
0.599 0.981 0.223
0.713 0.190 0.555
0.713 0.310 0.055
0.907 0.687 0.559
0.907 0.813 0.059
```

## Properties
The value obtained for the density of states at the Fermi level is 0.00 states/eV/f.u. The raw formation energy comes out at -0.88 eV/atom. The energy above the most stable polymorph in this dataset is 0.0 kJ per mole of atoms.